Here is Tb2SmSc5 after structural relaxation from Alexandria via LeMat-Bulk. Energies are from PBE. Values from VASP.

Structure (Quantum ESPRESSO input):
```
&SYSTEM
  ibrav = 0, nat = 8, ntyp = 3
/
ATOMIC_SPECIES
Tb 158.93 Tb.upf
Sm 150.36 Sm.upf
Sc 44.96 Sc.upf
CELL_PARAMETERS angstrom
0.000 5.381 5.957
3.435 0.000 5.957
3.435 5.381 0.000
ATOMIC_POSITIONS crystal
Tb 0.244 0.756 0.244
Tb 0.756 0.244 0.756
Sm 0.331 0.331 0.669
Sc 0.246 0.246 0.254
Sc 0.337 0.833 0.663
Sc 0.746 0.746 0.754
Sc 0.829 0.829 0.171
Sc 0.833 0.337 0.167
```

Values from the calculation:
The space-group type is Fmm2. As for the density of states at the Fermi level: 14.6 states/eV per cell. The value obtained for the density is 5.23 g/cm³. The formation energy comes out at 0.03 eV per atom.